Below is a relaxed structure of ReTcC2N, with properties calculated at the PBE level.

Calculated values
- Formation energy from raw total energies: 12.37 eV per formula unit

Cell lengths 3.853, 3.853, 3.640 Å; angles 90.00, 90.00, 90.00 degrees
Space group P4/mmm (No. 123)
One atom of each set of equivalent atoms:
Re1 0.000 0.000 0.000 x1
Tc1 0.500 0.500 0.000 x1
C1 0.000 0.500 0.500 x2
N1 0.500 0.500 0.500 x1

Below is a relaxed structure of SrLi6Zn, with properties calculated at the PBE level.

Calculated values
- E_form: 1.66 kcal/mol of atoms

Cell lengths 4.589, 4.589, 9.587 Å; angles 90.00, 90.00, 90.00 degrees
Space group P4/mmm (No. 123)
One atom of each set of equivalent atoms:
Sr1 0.000 0.000 0.000 x1
Li1 0.000 0.500 0.346 x4
Li2 0.500 0.500 0.154 x2
Zn1 0.000 0.000 0.500 x1

Below is a relaxed structure of CaMnSb2Au, with properties calculated at the PBE level.

Calculated values
- Formation energy from raw total energies: 7.36 eV per formula unit

Cell lengths 5.582, 5.582, 4.520 Å; angles 90.00, 90.00, 90.00 degrees
Space group P4/mmm (No. 123)
One atom of each set of equivalent atoms:
Ca1 0.000 0.000 0.000 x1
Mn1 0.000 0.000 0.500 x1
Sb1 0.000 0.500 0.000 x2
Au1 0.500 0.500 0.500 x1

Below is a relaxed structure of MgNiAs2, with properties calculated at the PBE level.

Calculated values
- E_form: -2.49 kcal/mol of atoms

Cell lengths 2.890, 4.014, 6.349 Å; angles 90.00, 90.00, 90.00 degrees
Space group Pmm2 (No. 25)
One atom of each set of equivalent atoms:
Mg1 0.000 0.000 0.000 x1
Ni1 0.500 0.500 0.811 x1
As1 0.500 0.000 0.611 x1
As2 0.500 0.500 0.193 x1

Below is a relaxed structure of Pu2Zr4Sc5, with properties calculated at the PBE level.

Calculated values
- E_form: 1.29 kcal/mol of atoms

Cell lengths 3.130, 7.861, 10.935 Å; angles 84.93, 81.79, 78.54 degrees
Space group P-1 (No. 2)
One atom of each set of equivalent atoms:
Pu1 0.224 0.235 0.314 x2
Zr1 0.138 0.129 0.598 x2
Zr2 0.171 0.685 0.971 x2
Sc1 0.412 0.404 0.776 x2
Sc2 0.450 0.963 0.136 x2
Sc3 0.500 0.500 0.500 x1

Below is a relaxed structure of Tb2TlPb2, with properties calculated at the PBE level.

Calculated values
- E above lowest polymorph: 0.0000 eV per atom
- E_form: -7.65 kcal/mol of atoms

Cell lengths 11.954, 4.718, 10.507 Å; angles 90.00, 103.81, 90.00 degrees
Space group C2/m (No. 12)
One atom of each set of equivalent atoms:
Tb1 0.058 0.000 0.356 x4
Tb2 0.153 0.000 0.052 x4
Tl1 0.248 0.500 0.250 x4
Pb1 0.044 0.500 0.855 x4
Pb2 0.142 0.500 0.570 x4

- What is the formula in the first record?
  ReTcC2N

Repeat the third record exactly.
Below is a relaxed structure of CaMnSb2Au, with properties calculated at the PBE level.

Calculated values
- Formation energy from raw total energies: 7.36 eV per formula unit

Cell lengths 5.582, 5.582, 4.520 Å; angles 90.00, 90.00, 90.00 degrees
Space group P4/mmm (No. 123)
One atom of each set of equivalent atoms:
Ca1 0.000 0.000 0.000 x1
Mn1 0.000 0.000 0.500 x1
Sb1 0.000 0.500 0.000 x2
Au1 0.500 0.500 0.500 x1